The following is a GGA-PBE calculation of an optimized crystal structure of Ho2TaTl, from Alexandria.

magnetic moment: 1.781 μB/cell
ΔH_f (0 K): 0.522 eV/atom
density of states at the Fermi level: 16.1 states/eV per cell

abc: 3.2322 3.2322 34.3328
angles: 90.00 90.00 120.00
With the nearest neighbours (Å) after each atom.
Space group R-3m (No. 166, hexagonal axes)
Symmetry-distinct sites (fractional):
Ho (0.0000, 0.0000, 0.0862)  1 Ta 2.96, 6 Ho 3.23
Ta (0.0000, 0.0000, 0.0000)  2 Ho 2.96, 6 Ta 3.23
Tl (0.0000, 0.0000, 0.5000)  6 Tl 3.23, 6 Ho 3.33